Entry from the Alexandria database: Sc7SeBr12 after structural relaxation (PBE).

Calculated values
Crystal system ... trigonal
Energy ... -4.940 eV/atom
ρ ... 4.1 Mg/m³
Spin magnetization ... 3.08 μB per cell
D(E_F) ... 0.247 states/eV/atom
Formation energy from raw total energies ... -1546 meV per atom

Lattice parameters (Å, degrees): 14.0957 14.0957 9.4706 90.00 90.00 120.00
Closest atoms and distances in Å follow each position.
Space group R-3 (No. 148, hexagonal axes)
Inequivalent atoms, fractional coordinates:
Sc (0.0000, 0.0000, 0.0000) (multiplicity 3)  6 Br 2.74
Sc (0.0463, 0.1650, 0.3469) (multiplicity 18)  1 Se 2.53, 4 Br 2.72-2.80
Se (0.0000, 0.0000, 0.5000) (multiplicity 3)  6 Sc 2.53
Br (0.0248, 0.5854, 0.1615) (multiplicity 18)  3 Sc 2.72-2.93
Br (0.0506, 0.1783, 0.8340) (multiplicity 18)  3 Sc 2.74-2.77